## La2DyYS6 (PBE)

Data for a geometry-optimized La2DyYS6 structure.

Unit cell a=7.144 b=7.144 c=7.433 alpha=61.28 beta=61.28 gamma=60.00
Fractional positions:
S: 0.193 0.942 0.260
S: 0.105 0.442 0.759
S: 0.605 0.193 0.260
S: 0.442 0.693 0.759
Y: 0.316 0.316 0.053
Dy: 0.816 0.816 0.553
La: 0.025 0.025 0.926
S: 0.693 0.105 0.759
La: 0.525 0.525 0.425
S: 0.942 0.605 0.260

Output
- raw formation energy (eV per formula unit) = -21.1
- total DFT energy (no corrections) (eV per atom) = -6.6774
- DOS at the Fermi energy (states/eV/atom) = 0.00
- volume (Å³/atom) = 27.33